{
  "formula": "LiMnF6",
  "functional": "GGA+U",
  "state": "optimized geometry",
  "crystal_system": "trigonal",
  "volume_a3_per_cell": 190.5,
  "energy_ev_per_cell": -73.89,
  "cell": [[4.965, 0.000, 0.000], [-2.482, 4.299, 0.000], [0.000, 0.000, 8.923]],
  "species": ["Mn", "Mn", "F", "F", "F", "F", "F", "F", "F", "F", "F", "F", "F", "F", "Li", "Li"],
  "fractional_positions": [[0.000, 0.000, 0.500], [0.000, 0.000, 0.000], [0.288, 0.310, 0.382], [0.310, 0.021, 0.618], [0.021, 0.712, 0.382], [0.690, 0.979, 0.382], [0.288, 0.979, 0.118], [0.690, 0.712, 0.118], [0.021, 0.310, 0.118], [0.712, 0.690, 0.618], [0.310, 0.288, 0.882], [0.712, 0.021, 0.882], [0.979, 0.288, 0.618], [0.979, 0.690, 0.882], [0.667, 0.333, 0.750], [0.333, 0.667, 0.250]]
}